Entry from Alexandria: a geometry-optimized MnZnTe2O6 structure (PBE+U).

Summary:
Final energy: -5.407 eV per atom
Density of states at the Fermi level: 4.0 states/eV per cell

Structure (POSCAR):
```
MnZnTe2O6
1.0
-0.9192 -2.9686 4.4158
6.8256 -0.6400 3.3148
0.7051 4.9139 5.7744
O Zn Mn Te
12 2 2 4
direct
0.1328 0.9845 0.8381 O
0.3784 0.2764 0.3517 O
0.3672 0.1619 0.0155 O
0.1216 0.6483 0.7236 O
0.8672 0.0155 0.1619 O
0.6328 0.8381 0.9845 O
0.3807 0.8108 0.3405 O
0.8784 0.3517 0.2764 O
0.6216 0.7236 0.6483 O
0.1193 0.6595 0.1892 O
0.6193 0.1892 0.6595 O
0.8807 0.3405 0.8108 O
0.2500 0.2537 0.7463 Zn
0.7500 0.7463 0.2537 Zn
0.2500 0.9091 0.0909 Mn
0.7500 0.0909 0.9091 Mn
0.2579 0.8836 0.5803 Te
0.7579 0.5803 0.8836 Te
0.7421 0.1164 0.4197 Te
0.2421 0.4197 0.1164 Te
```